Below is crystalline CaCrSi4O10 at its relaxed geometry, with properties calculated at the GGA+U level.

```
CaCrSi4O10
1.0
7.4790 0.0000 0.0000
0.0000 7.4790 0.0000
0.0000 0.0000 15.3939
Ca Cr Si O
4 4 16 40
Direct
0.2500 0.7500 0.0000
0.2500 0.7500 0.5000
0.7500 0.2500 0.0000
0.7500 0.2500 0.5000
0.2500 0.2500 0.0807
0.2500 0.2500 0.5807
0.7500 0.7500 0.4193
0.7500 0.7500 0.9193
0.0019 0.0798 0.3517
0.0019 0.4202 0.8517
0.0798 0.0019 0.8517
0.0798 0.4981 0.3517
0.4202 0.0019 0.3517
0.4202 0.4981 0.8517
0.4981 0.0798 0.8517
0.4981 0.4202 0.3517
0.5019 0.5798 0.6483
0.5019 0.9202 0.1483
0.5798 0.5019 0.1483
0.5798 0.9981 0.6483
0.9202 0.5019 0.6483
0.9202 0.9981 0.1483
0.9981 0.5798 0.1483
0.9981 0.9202 0.6483
0.0017 0.2033 0.8717
0.0017 0.2967 0.3717
0.0023 0.6453 0.4177
0.0023 0.8547 0.9177
0.0437 0.5437 0.2500
0.0437 0.9563 0.7500
0.1453 0.5023 0.0823
0.1453 0.9977 0.5823
0.2033 0.0017 0.3717
0.2033 0.4983 0.8717
0.2967 0.0017 0.8717
0.2967 0.4983 0.3717
0.3547 0.5023 0.5823
0.3547 0.9977 0.0823
0.4563 0.5437 0.7500
0.4563 0.9563 0.2500
0.4983 0.2033 0.3717
0.4983 0.2967 0.8717
0.4977 0.6453 0.9177
0.4977 0.8547 0.4177
0.5023 0.1453 0.5823
0.5023 0.3547 0.0823
0.5017 0.7033 0.1283
0.5017 0.7967 0.6283
0.5437 0.0437 0.7500
0.5437 0.4563 0.2500
0.6453 0.0023 0.9177
0.6453 0.4977 0.4177
0.7033 0.5017 0.6283
0.7033 0.9983 0.1283
0.7967 0.5017 0.1283
0.7967 0.9983 0.6283
0.8547 0.0023 0.4177
0.8547 0.4977 0.9177
0.9563 0.0437 0.2500
0.9563 0.4563 0.7500
0.9977 0.1453 0.0823
0.9977 0.3547 0.5823
0.9983 0.7033 0.6283
0.9983 0.7967 0.1283
```

- space group = No. 130
- size of the total moment (μB per formula unit) = 4.00
- uncorrected energy (eV/atom) = -7.781